1.
# RuAuBr3, relaxed, DFT PBE
# symmetry	No. 221
# energy	-15.312	eV/cell
# E_form (uncorrected)	452	meV/atom
data_RuAuBr3
_chemical_formula_sum 'Ru1 Au1 Br3'
_space_group_name_H-M_alt 'P 1'
_space_group_IT_number 1
_space_group_name_Hall 'P 1'
_cell_length_a 5.0702
_cell_length_b 5.0702
_cell_length_c 5.0702
_cell_angle_alpha 90.00
_cell_angle_beta 90.00
_cell_angle_gamma 90.00
loop_
_atom_site_label
_atom_site_fract_x
_atom_site_fract_y
_atom_site_fract_z
_atom_site_occupancy
Ru1 0.0000 0.0000 0.0000 1
Au1 0.5000 0.5000 0.5000 1
Br1 0.0000 0.0000 0.5000 1
Br2 0.0000 0.5000 0.0000 1
Br3 0.5000 0.0000 0.0000 1

2.
# SbS2IN, relaxed, DFT PBE
# symmetry	No. 123
# energy	-16.108	eV/cell
# distance to the lowest polymorph of the same formula	123	kJ/mol of formula units
# E_form (uncorrected)	1229	meV/atom
data_SbS2IN
_chemical_formula_sum 'Sb1 S2 I1 N1'
_space_group_name_H-M_alt 'P 1'
_space_group_IT_number 1
_space_group_name_Hall 'P 1'
_cell_length_a 5.2874
_cell_length_b 5.2874
_cell_length_c 3.9133
_cell_angle_alpha 90.00
_cell_angle_beta 90.00
_cell_angle_gamma 90.00
loop_
_atom_site_label
_atom_site_fract_x
_atom_site_fract_y
_atom_site_fract_z
_atom_site_occupancy
Sb1 0.0000 0.0000 0.0000 1
S1 0.0000 0.5000 0.5000 1
S2 0.5000 0.0000 0.5000 1
I1 0.5000 0.5000 0.5000 1
N1 0.5000 0.5000 0.0000 1

3.
# UGaNiPt, relaxed, DFT PBE
# formation enthalpy at 0 K	-1.57	eV per formula unit
# symmetry	No. 216
# energy	-27.710	eV/cell
data_UGaNiPt
_chemical_formula_sum 'U1 Ga1 Ni1 Pt1'
_space_group_name_H-M_alt 'P 1'
_space_group_IT_number 1
_space_group_name_Hall 'P 1'
_cell_length_a 4.6185
_cell_length_b 4.6185
_cell_length_c 4.6185
_cell_angle_alpha 60.00
_cell_angle_beta 60.00
_cell_angle_gamma 60.00
loop_
_atom_site_label
_atom_site_fract_x
_atom_site_fract_y
_atom_site_fract_z
_atom_site_occupancy
U1 0.0000 0.0000 0.0000 1
Ga1 0.5000 0.5000 0.5000 1
Ni1 0.2500 0.2500 0.2500 1
Pt1 0.7500 0.7500 0.7500 1

4.
# BaHf2Au, relaxed, DFT PBE
# formation enthalpy at 0 K	1.91	eV per formula unit
# symmetry	No. 225
# energy	-23.197	eV/cell
# distance to the lowest polymorph of the same formula	0	kJ/mol of formula units
data_BaHf2Au
_chemical_formula_sum 'Ba1 Hf2 Au1'
_space_group_name_H-M_alt 'P 1'
_space_group_IT_number 1
_space_group_name_Hall 'P 1'
_cell_length_a 5.0448
_cell_length_b 5.0448
_cell_length_c 5.0448
_cell_angle_alpha 60.00
_cell_angle_beta 60.00
_cell_angle_gamma 60.00
loop_
_atom_site_label
_atom_site_fract_x
_atom_site_fract_y
_atom_site_fract_z
_atom_site_occupancy
Ba1 0.0000 0.0000 0.0000 1
Hf1 0.2500 0.2500 0.2500 1
Hf2 0.7500 0.7500 0.7500 1
Au1 0.5000 0.5000 0.5000 1